No. 1
Computed, not measured: a relaxed NaPmEr4O8 crystal at the PBE level of DFT.

a b c (Å): 6.7712 6.7712 6.8547
angles (deg): 60.40 60.40 60.00
Fractional coordinates of all 14 atoms:
O 0.2386 0.7995 0.7233
O 0.7516 0.7516 0.2657
O 0.7516 0.2310 0.2657
O 0.2325 0.2325 0.3025
O 0.7568 0.7568 0.7296
O 0.7995 0.2386 0.7233
O 0.2386 0.2386 0.7233
O 0.2310 0.7516 0.2657
Na 0.3764 0.3764 0.8708
Er 0.6244 0.6244 0.1269
Er 0.0030 0.0030 0.5031
Er 0.0030 0.4909 0.5031
Er 0.4909 0.0030 0.5031
Pm 0.0021 0.0021 0.9938

Properties
Calculated total energy: -7.834 eV/atom
D(E_F): 0.0 states/eV per cell
Symmetry: R3m, No. 160


No. 2
Computed, not measured: a relaxed Na4Pm3ErO8 crystal at the PBE level of DFT.

a b c (Å): 7.0319 6.9279 7.0322
angles (deg): 120.49 120.00 90.00
Fractional coordinates of all 16 atoms:
O 0.7671 0.2871 0.5342
O 0.2329 0.7129 0.4658
O 0.7386 0.7160 0.4773
O 0.2530 0.2871 0.0201
O 0.2614 0.2840 0.5227
O 0.7671 0.2871 0.0201
O 0.2329 0.7129 0.9799
O 0.7470 0.7129 0.9799
Pm 0.0000 0.5000 0.5000
Pm 0.5000 0.5000 0.0000
Pm 0.5000 0.5000 0.5000
Na 0.0000 0.0000 0.0000
Na 0.0000 0.0000 0.5000
Na 0.5000 0.0000 0.5000
Na 0.5000 0.0000 0.0000
Er 0.0000 0.5000 0.0000

Properties
Calculated total energy: -6.677 eV/atom
D(E_F): 0.0 states/eV per cell
Symmetry: R-3m, No. 166


No. 3
Computed, not measured: a relaxed Na3PrEr2O6 crystal at the PBE level of DFT.

a b c (Å): 6.0123 6.0123 5.9429
angles (deg): 99.63 99.63 120.06
Fractional coordinates of all 12 atoms:
Na 0.8268 0.1732 0.5000
Na 0.1732 0.8268 0.5000
Na 0.5000 0.5000 0.5000
O 0.7212 0.7212 0.2130
O 0.2788 0.2788 0.7870
O 0.0699 0.4188 0.2111
O 0.9301 0.5812 0.7889
O 0.4188 0.0699 0.2111
O 0.5812 0.9301 0.7889
Er 0.6665 0.3335 0.0000
Er 0.3335 0.6665 0.0000
Pr 0.0000 0.0000 0.0000

Properties
Calculated total energy: -6.707 eV/atom
D(E_F): 0.0 states/eV per cell
Symmetry: C2/m, No. 12


No. 4
Computed, not measured: a relaxed Na2PrErO4 crystal at the PBE level of DFT.

a b c (Å): 3.5061 6.0851 5.9706
angles (deg): 109.91 90.00 90.00
Fractional coordinates of all 8 atoms:
O 0.5000 0.2254 0.2117
O 0.0000 0.2470 0.7850
O 0.0000 0.7530 0.2150
O 0.5000 0.7746 0.7883
Er 0.0000 0.0000 0.0000
Na 0.0000 0.5000 0.5000
Na 0.5000 0.0000 0.5000
Pr 0.5000 0.5000 0.0000

Properties
Calculated total energy: -6.662 eV/atom
D(E_F): 0.0 states/eV per cell
Symmetry: P2/m, No. 10


No. 5
Computed, not measured: a relaxed Na2Er2PtO6 crystal at the PBE level of DFT.

a b c (Å): 5.7086 5.7086 5.8799
angles (deg): 97.31 97.31 120.28
Fractional coordinates of all 11 atoms:
O 0.2517 0.2517 0.2972
O 0.7483 0.7483 0.7028
O 0.0426 0.3620 0.6938
O 0.9574 0.6380 0.3062
O 0.6380 0.9574 0.3062
O 0.3620 0.0426 0.6938
Er 0.3370 0.6630 0.5000
Er 0.6630 0.3370 0.5000
Na 0.8530 0.1470 0.0000
Na 0.1470 0.8530 0.0000
Pt 0.0000 0.0000 0.5000

Properties
Calculated total energy: -6.511 eV/atom
D(E_F): 0.0 states/eV per cell
Symmetry: C2/m, No. 12


No. 6
Computed, not measured: a relaxed Na2ErPtO4 crystal at the PBE level of DFT.

a b c (Å): 3.2613 5.6880 6.0695
angles (deg): 111.86 90.00 90.00
Site moments in Bohr magnetons follow the coordinates.
Fractional coordinates of all 8 atoms:
Er 0.5000 0.5000 0.0000  -0.03
O 0.0000 0.7150 0.2419  0.17
O 0.0000 0.2850 0.7581  0.17
O 0.5000 0.7870 0.8071  0.02
O 0.5000 0.2130 0.1929  0.02
Na 0.5000 0.0000 0.5000  0.00
Na 0.0000 0.5000 0.5000  0.01
Pt 0.0000 0.0000 0.0000  0.53

Properties
Calculated total energy: -5.917 eV/atom
D(E_F): 0.3 states/eV per cell
Symmetry: P2/m, No. 10


no.,formation energy without anion corrections (eV per atom)
1,-3.263
2,-2.692
3,-2.740
4,-2.685
5,-2.188
6,-1.783